Run 1
Entry from Alexandria via LeMat-Bulk: a geometry-optimized TeHI2F structure (PBE).

Cell: 5.946 5.946 4.248 Å, 90.00 90.00 90.00°
Sites, in units of the cell vectors:
Te  0.000  0.000  0.000
H  0.500  0.500  0.000
I  0.000  0.500  0.500
I  0.500  0.000  0.500
F  0.000  0.000  0.500

---

Run 2
Entry from Alexandria via LeMat-Bulk: a geometry-optimized TeHI2F structure (PBE).

Cell: 5.396 5.396 3.910 Å, 90.00 90.00 90.00°
Sites, in units of the cell vectors:
Te  0.000  0.000  0.000
H  0.000  0.000  0.500
I  0.000  0.500  0.500
I  0.500  0.000  0.500
F  0.500  0.500  0.000

---

Of them, run 2 has the highest stability.

---

Run 1
Entry from Alexandria via LeMat-Bulk: a geometry-optimized InH3F structure (PBE).

Cell: 3.704 3.704 3.704 Å, 90.00 90.00 90.00°
Sites, in units of the cell vectors:
In  0.000  0.000  0.000
H  0.000  0.000  0.500
H  0.000  0.500  0.000
H  0.500  0.000  0.000
F  0.500  0.500  0.500

---

Run 2
Entry from Alexandria via LeMat-Bulk: a geometry-optimized InH3F structure (PBE).

Cell: 3.687 3.687 3.687 Å, 90.00 90.00 90.00°
Sites, in units of the cell vectors:
In  0.000  0.000  0.000
H  0.000  0.500  0.500
H  0.500  0.000  0.500
H  0.500  0.500  0.000
F  0.500  0.500  0.500

---

Of them, run 1 has the highest stability.

---

Run 1
Entry from Alexandria via LeMat-Bulk: a geometry-optimized InHF2 structure (PBE).

Cell: 2.891 2.891 18.789 Å, 90.00 90.00 120.00°
Sites, in units of the cell vectors:
In  0.000  0.000  0.000
In  0.333  0.667  0.667
In  0.667  0.333  0.333
H  0.000  0.000  0.500
H  0.333  0.667  0.167
H  0.667  0.333  0.833
F  0.000  0.000  0.117
F  0.000  0.000  0.883
F  0.333  0.667  0.549
F  0.333  0.667  0.784
F  0.667  0.333  0.216
F  0.667  0.333  0.451

---

Run 2
Entry from Alexandria via LeMat-Bulk: a geometry-optimized InHF2 structure (PBE).

Cell: 5.509 5.509 5.509 Å, 90.00 90.00 90.00°
Sites, in units of the cell vectors:
In  0.000  0.000  0.000
In  0.000  0.500  0.500
In  0.500  0.000  0.500
In  0.500  0.500  0.000
H  0.000  0.000  0.500
H  0.000  0.500  0.000
H  0.500  0.000  0.000
H  0.500  0.500  0.500
F  0.250  0.250  0.250
F  0.250  0.250  0.750
F  0.250  0.750  0.250
F  0.250  0.750  0.750
F  0.750  0.250  0.250
F  0.750  0.250  0.750
F  0.750  0.750  0.250
F  0.750  0.750  0.750

---

Of them, run 2 has the highest stability.

---

Run 1
Entry from Alexandria via LeMat-Bulk: a geometry-optimized InHF2 structure (PBE).

Cell: 5.089 5.089 5.089 Å, 60.00 60.00 60.00°
Sites, in units of the cell vectors:
In  0.125  0.125  0.125
In  0.875  0.875  0.875
H  0.375  0.375  0.375
H  0.625  0.625  0.625
F  0.000  0.500  0.500
F  0.500  0.000  0.500
F  0.500  0.500  0.000
F  0.500  0.500  0.500

---

Run 2
Entry from Alexandria via LeMat-Bulk: a geometry-optimized InHF2 structure (PBE).

Cell: 3.762 3.762 16.965 Å, 90.00 90.00 120.00°
Sites, in units of the cell vectors:
In  0.000  0.000  0.000
In  0.333  0.667  0.667
In  0.667  0.333  0.333
H  0.000  0.000  0.500
H  0.333  0.667  0.167
H  0.667  0.333  0.833
F  0.000  0.000  0.432
F  0.000  0.000  0.568
F  0.333  0.667  0.099
F  0.333  0.667  0.235
F  0.667  0.333  0.765
F  0.667  0.333  0.901

---

Of them, run 2 has the highest stability.

---

Run 1
Entry from Alexandria via LeMat-Bulk: a geometry-optimized InHF4 structure (PBE).

Cell: 6.992 6.992 5.754 Å, 96.03 96.03 136.47°
Sites, in units of the cell vectors:
In  0.067  0.933  0.750
In  0.933  0.067  0.250
H  0.321  0.679  0.250
H  0.679  0.321  0.750
F  0.088  0.453  0.213
F  0.168  0.265  0.619
F  0.265  0.168  0.119
F  0.453  0.088  0.713
F  0.547  0.912  0.287
F  0.735  0.832  0.881
F  0.832  0.735  0.381
F  0.912  0.547  0.787

---

Run 2
Entry from Alexandria via LeMat-Bulk: a geometry-optimized InHF4 structure (PBE).

Cell: 6.027 6.027 6.027 Å, 105.84 105.84 117.01°
Sites, in units of the cell vectors:
In  0.000  0.000  0.000
In  0.750  0.250  0.500
H  0.101  0.601  0.500
H  0.351  0.351  0.000
F  0.202  0.547  0.655
F  0.297  0.143  0.845
F  0.297  0.452  0.155
F  0.317  0.027  0.290
F  0.737  0.027  0.710
F  0.777  0.567  0.790
F  0.777  0.987  0.210
F  0.893  0.547  0.345

---

Of them, run 1 has the highest stability.

---

Run 1
Entry from Alexandria via LeMat-Bulk: a geometry-optimized In2HF structure (PBE).

Cell: 6.597 6.597 6.597 Å, 90.00 90.00 90.00°
Sites, in units of the cell vectors:
In  0.250  0.250  0.250
In  0.250  0.250  0.750
In  0.250  0.750  0.250
In  0.250  0.750  0.750
In  0.750  0.250  0.250
In  0.750  0.250  0.750
In  0.750  0.750  0.250
In  0.750  0.750  0.750
H  0.000  0.000  0.000
H  0.000  0.500  0.500
H  0.500  0.000  0.500
H  0.500  0.500  0.000
F  0.000  0.000  0.500
F  0.000  0.500  0.000
F  0.500  0.000  0.000
F  0.500  0.500  0.500

---

Run 2
Entry from Alexandria via LeMat-Bulk: a geometry-optimized In2HF structure (PBE).

Cell: 5.693 5.693 10.466 Å, 90.00 90.00 90.00°
Sites, in units of the cell vectors:
In  0.210  0.250  0.125
In  0.250  0.710  0.375
In  0.250  0.790  0.875
In  0.290  0.250  0.625
In  0.710  0.750  0.625
In  0.750  0.210  0.875
In  0.750  0.290  0.375
In  0.790  0.750  0.125
H  0.000  0.000  0.000
H  0.000  0.500  0.250
H  0.500  0.000  0.750
H  0.500  0.500  0.500
F  0.000  0.000  0.500
F  0.000  0.500  0.750
F  0.500  0.000  0.250
F  0.500  0.500  0.000

---

Of them, run 2 has the highest stability.

---

Run 1
Entry from Alexandria via LeMat-Bulk: a geometry-optimized InHN2F structure (PBE).

Cell: 3.270 3.270 4.158 Å, 90.00 90.00 90.00°
Sites, in units of the cell vectors:
In  0.000  0.000  0.000
H  0.500  0.500  0.500
N  0.000  0.500  0.500
N  0.500  0.000  0.500
F  0.500  0.500  0.000

---

Run 2
Entry from Alexandria via LeMat-Bulk: a geometry-optimized InHN2F structure (PBE).

Cell: 4.452 4.452 4.372 Å, 90.00 90.00 90.00°
Sites, in units of the cell vectors:
In  0.000  0.000  0.000
H  0.500  0.500  0.500
N  0.000  0.500  0.000
N  0.500  0.000  0.000
F  0.000  0.000  0.500

---

Of them, run 1 has the highest stability.

---

Run 1
Entry from Alexandria via LeMat-Bulk: a geometry-optimized HIrF structure (PBE).

Cell: 2.676 5.479 5.807 Å, 68.72 80.03 75.95°
Sites, in units of the cell vectors:
H  0.206  0.336  0.338
H  0.794  0.664  0.662
Ir  0.323  0.290  0.083
Ir  0.677  0.710  0.917
F  0.467  0.887  0.235
F  0.533  0.113  0.765

---

Run 2
Entry from Alexandria via LeMat-Bulk: a geometry-optimized HIrF structure (PBE).

Cell: 2.729 2.729 10.653 Å, 86.48 87.31 60.36°
Sites, in units of the cell vectors:
H  0.000  0.000  0.000
H  0.413  0.328  0.759
Ir  0.107  0.063  0.406
Ir  0.424  0.358  0.608
F  0.121  0.099  0.226
F  0.809  0.814  0.973

---

Run 3
Entry from Alexandria via LeMat-Bulk: a geometry-optimized HIrF structure (PBE).

Cell: 2.554 2.563 7.949 Å, 85.28 82.01 61.93°
Sites, in units of the cell vectors:
H  0.000  0.000  0.000
Ir  0.684  0.317  0.501
F  0.778  0.783  0.000

---

Of them, run 2 has the highest stability.

---

Run 1
Entry from Alexandria via LeMat-Bulk: a geometry-optimized HIrF2 structure (PBE).

Cell: 2.658 2.658 17.856 Å, 90.00 90.00 120.00°
Sites, in units of the cell vectors:
H  0.000  0.000  0.000
H  0.333  0.667  0.667
H  0.667  0.333  0.333
Ir  0.000  0.000  0.500
Ir  0.333  0.667  0.167
Ir  0.667  0.333  0.833
F  0.000  0.000  0.386
F  0.000  0.000  0.614
F  0.333  0.667  0.053
F  0.333  0.667  0.281
F  0.667  0.333  0.719
F  0.667  0.333  0.947

---

Run 2
Entry from Alexandria via LeMat-Bulk: a geometry-optimized HIrF2 structure (PBE).

Cell: 5.481 5.481 5.481 Å, 90.00 90.00 90.00°
Sites, in units of the cell vectors:
H  0.000  0.000  0.000
H  0.000  0.500  0.500
H  0.500  0.000  0.500
H  0.500  0.500  0.000
Ir  0.000  0.000  0.500
Ir  0.000  0.500  0.000
Ir  0.500  0.000  0.000
Ir  0.500  0.500  0.500
F  0.250  0.250  0.250
F  0.250  0.250  0.750
F  0.250  0.750  0.250
F  0.250  0.750  0.750
F  0.750  0.250  0.250
F  0.750  0.250  0.750
F  0.750  0.750  0.250
F  0.750  0.750  0.750

---

Of them, run 1 has the highest stability.

---

Run 1
Entry from Alexandria via LeMat-Bulk: a geometry-optimized HIrF2 structure (PBE).

Cell: 4.507 4.507 7.158 Å, 90.00 90.00 90.00°
Sites, in units of the cell vectors:
H  0.000  0.000  0.000
H  0.000  0.500  0.250
H  0.500  0.000  0.750
H  0.500  0.500  0.500
Ir  0.000  0.000  0.500
Ir  0.000  0.500  0.750
Ir  0.500  0.000  0.250
Ir  0.500  0.500  0.000
F  0.087  0.250  0.125
F  0.250  0.587  0.375
F  0.250  0.913  0.875
F  0.413  0.250  0.625
F  0.587  0.750  0.625
F  0.750  0.087  0.875
F  0.750  0.413  0.375
F  0.913  0.750  0.125

---

Run 2
Entry from Alexandria via LeMat-Bulk: a geometry-optimized HIrF2 structure (PBE).

Cell: 2.710 2.710 19.302 Å, 90.00 90.00 120.00°
Sites, in units of the cell vectors:
H  0.000  0.000  0.000
H  0.333  0.667  0.667
H  0.667  0.333  0.333
Ir  0.000  0.000  0.500
Ir  0.333  0.667  0.167
Ir  0.667  0.333  0.833
F  0.000  0.000  0.059
F  0.000  0.000  0.941
F  0.333  0.667  0.607
F  0.333  0.667  0.726
F  0.667  0.333  0.274
F  0.667  0.333  0.393

---

Of them, run 2 has the highest stability.

---

Run 1
Entry from Alexandria via LeMat-Bulk: a geometry-optimized H2IrF structure (PBE).

Cell: 4.973 4.973 4.973 Å, 90.00 90.00 90.00°
Sites, in units of the cell vectors:
H  0.250  0.250  0.250
H  0.250  0.250  0.750
H  0.250  0.750  0.250
H  0.250  0.750  0.750
H  0.750  0.250  0.250
H  0.750  0.250  0.750
H  0.750  0.750  0.250
H  0.750  0.750  0.750
Ir  0.000  0.000  0.000
Ir  0.000  0.500  0.500
Ir  0.500  0.000  0.500
Ir  0.500  0.500  0.000
F  0.000  0.000  0.500
F  0.000  0.500  0.000
F  0.500  0.000  0.000
F  0.500  0.500  0.500

---

Run 2
Entry from Alexandria via LeMat-Bulk: a geometry-optimized H2IrF structure (PBE).

Cell: 4.601 4.601 6.510 Å, 90.00 90.00 90.00°
Sites, in units of the cell vectors:
H  0.218  0.250  0.125
H  0.250  0.718  0.375
H  0.250  0.782  0.875
H  0.282  0.250  0.625
H  0.718  0.750  0.625
H  0.750  0.218  0.875
H  0.750  0.282  0.375
H  0.782  0.750  0.125
Ir  0.000  0.000  0.000
Ir  0.000  0.500  0.250
Ir  0.500  0.000  0.750
Ir  0.500  0.500  0.500
F  0.000  0.000  0.500
F  0.000  0.500  0.750
F  0.500  0.000  0.250
F  0.500  0.500  0.000

---

Of them, run 2 has the highest stability.

---

Run 1
Entry from Alexandria via LeMat-Bulk: a geometry-optimized H2IrF6 structure (PBE).

Cell: 4.646 5.416 10.060 Å, 90.00 113.10 90.00°
Sites, in units of the cell vectors:
H  0.061  0.229  0.078
H  0.061  0.271  0.578
H  0.939  0.729  0.422
H  0.939  0.771  0.922
Ir  0.500  0.000  0.000
Ir  0.500  0.500  0.500
F  0.118  0.688  0.373
F  0.118  0.812  0.873
F  0.233  0.225  0.522
F  0.233  0.275  0.022
F  0.476  0.662  0.664
F  0.476  0.838  0.164
F  0.524  0.162  0.836
F  0.524  0.338  0.336
F  0.767  0.725  0.978
F  0.767  0.775  0.478
F  0.882  0.188  0.127
F  0.882  0.312  0.627

---

Run 2
Entry from Alexandria via LeMat-Bulk: a geometry-optimized H2IrF6 structure (PBE).

Cell: 6.735 6.735 5.260 Å, 96.66 96.66 82.09°
Sites, in units of the cell vectors:
H  0.119  0.154  0.300
H  0.154  0.119  0.800
H  0.846  0.881  0.200
H  0.881  0.846  0.700
Ir  0.407  0.593  0.250
Ir  0.593  0.407  0.750
F  0.084  0.196  0.131
F  0.152  0.625  0.374
F  0.196  0.084  0.631
F  0.319  0.475  0.889
F  0.375  0.848  0.126
F  0.475  0.319  0.389
F  0.525  0.681  0.611
F  0.625  0.152  0.874
F  0.681  0.525  0.111
F  0.804  0.916  0.369
F  0.848  0.375  0.626
F  0.916  0.804  0.869

---

Of them, run 1 has the highest stability.